Record 1
CaTa2Mn: optimized geometry, PBE.

E_form, meV per atom: 476
Symmetry: Pm
Electronic total energy, eV/f.u.: -32.973
DOS(E_F), states/eV/f.u.: 4.1
Energy relative to the lowest polymorph listed for this composition, meV/atom: 80

a = 3.060 Å, b = 4.156 Å, c = 6.713 Å
α = 90.00°, β = 101.39°, γ = 90.00°
Atoms (fractional coordinates):
Ca 0.000 0.000 0.000
Ta 0.387 0.500 0.654
Ta 0.842 0.000 0.459
Mn 0.445 0.500 0.318



Record 2
YLuTe3: optimized geometry, PBE.

Symmetry: R-3
Electronic total energy, eV/f.u.: -27.132
DOS(E_F), states/eV/f.u.: 0.0
Energy relative to the lowest polymorph listed for this composition, meV/atom: 47
Formation energy (no corrections), eV per formula unit: -6.7

a = 8.240 Å, b = 8.240 Å, c = 8.240 Å
α = 55.13°, β = 55.13°, γ = 55.13°
Atoms (fractional coordinates):
Y 0.157 0.157 0.157
Y 0.843 0.843 0.843
Lu 0.342 0.342 0.342
Lu 0.658 0.658 0.658
Te 0.065 0.745 0.435
Te 0.255 0.565 0.935
Te 0.435 0.065 0.745
Te 0.565 0.935 0.255
Te 0.745 0.435 0.065
Te 0.935 0.255 0.565



Record 3
NaSc2ReBi: optimized geometry, PBE.

E_form, meV per atom: 1327
Symmetry: P4/mmm
Electronic total energy, eV/f.u.: -23.678
DOS(E_F), states/eV/f.u.: 9.2

a = 5.443 Å, b = 5.443 Å, c = 5.259 Å
α = 90.00°, β = 90.00°, γ = 90.00°
Atoms (fractional coordinates):
Na 0.000 0.000 0.000
Sc 0.000 0.500 0.500
Sc 0.500 0.000 0.500
Re 0.500 0.500 0.000
Bi 0.000 0.000 0.500



Record 4
Pm4TlAg: optimized geometry, PBE.

E_form, meV per atom: -36
Symmetry: Cmc2_1
Electronic total energy, eV/f.u.: -24.438
DOS(E_F), states/eV/f.u.: 6.5
Energy relative to the lowest polymorph listed for this composition, meV/atom: 152

a = 10.905 Å, b = 10.905 Å, c = 6.605 Å
α = 90.00°, β = 90.00°, γ = 150.00°
Atoms (fractional coordinates):
Pm 0.060 0.940 0.500
Pm 0.205 0.795 0.763
Pm 0.217 0.783 0.281
Pm 0.379 0.621 0.537
Pm 0.621 0.379 0.037
Pm 0.783 0.217 0.781
Pm 0.795 0.205 0.263
Pm 0.940 0.060 0.000
Tl 0.353 0.647 0.026
Tl 0.647 0.353 0.526
Ag 0.081 0.919 0.012
Ag 0.919 0.081 0.512



Record 5
Si3RhW: optimized geometry, PBE.

Symmetry: Pm-3m
Electronic total energy, eV/f.u.: -30.587
DOS(E_F), states/eV/f.u.: 7.3
Energy relative to the lowest polymorph listed for this composition, meV/atom: 223
Formation energy (no corrections), eV per formula unit: 6.0

a = 4.496 Å, b = 4.496 Å, c = 4.496 Å
α = 90.00°, β = 90.00°, γ = 90.00°
Atoms (fractional coordinates):
Si 0.000 0.000 0.500
Si 0.000 0.500 0.000
Si 0.500 0.000 0.000
Rh 0.000 0.000 0.000
W 0.500 0.500 0.500



Record 6
Al2AgIr: optimized geometry, PBE.

E_form, meV per atom: -302
Symmetry: P4mm
Electronic total energy, eV/f.u.: -20.406
DOS(E_F), states/eV/f.u.: 2.9

a = 3.354 Å, b = 3.354 Å, c = 5.560 Å
α = 90.00°, β = 90.00°, γ = 90.00°
Atoms (fractional coordinates):
Al 0.000 0.000 0.000
Al 0.500 0.500 0.287
Ag 0.500 0.500 0.786
Ir 0.000 0.000 0.460



Record 7
Dy4HoAl2: optimized geometry, PBE.

E_form, meV per atom: 278
Symmetry: I4/mmm
Electronic total energy, eV/f.u.: -28.525
DOS(E_F), states/eV/f.u.: 9.1
Energy relative to the lowest polymorph listed for this composition, meV/atom: 357

a = 7.476 Å, b = 7.476 Å, c = 7.476 Å
α = 135.69°, β = 135.69°, γ = 64.46°
Atoms (fractional coordinates):
Dy 0.000 0.500 0.500
Dy 0.250 0.750 0.500
Dy 0.500 0.000 0.500
Dy 0.750 0.250 0.500
Ho 0.000 0.000 0.000
Al 0.385 0.385 0.000
Al 0.615 0.615 0.000



Record 8
HoGe4: optimized geometry, PBE.

E_form, meV per atom: 842
Symmetry: Pm-3m
Electronic total energy, eV/f.u.: -18.838
DOS(E_F), states/eV/f.u.: 4.4

a = 5.331 Å, b = 5.331 Å, c = 5.331 Å
α = 90.00°, β = 90.00°, γ = 90.00°
Atoms (fractional coordinates):
Ho 0.000 0.000 0.000
Ge 0.000 0.000 0.500
Ge 0.000 0.500 0.000
Ge 0.500 0.000 0.000
Ge 0.500 0.500 0.500



Record 9
Ac8Cd2Co: optimized geometry, PBE.

E_form, meV per atom: -55
Symmetry: C2/m
Electronic total energy, eV/f.u.: -42.408
DOS(E_F), states/eV/f.u.: 13.1

a = 10.483 Å, b = 10.483 Å, c = 7.917 Å
α = 91.68°, β = 91.68°, γ = 28.75°
Atoms (fractional coordinates):
Ac 0.000 0.000 0.225
Ac 0.000 0.000 0.775
Ac 0.219 0.219 0.310
Ac 0.367 0.367 0.992
Ac 0.404 0.404 0.495
Ac 0.596 0.596 0.505
Ac 0.633 0.633 0.008
Ac 0.781 0.781 0.690
Cd 0.178 0.178 0.750
Cd 0.822 0.822 0.250
Co 0.500 0.500 0.000



Record 10
PrHgGe: optimized geometry, PBE.

E_form, meV per atom: -582
Symmetry: Cmcm
Electronic total energy, eV/f.u.: -11.444
DOS(E_F), states/eV/f.u.: 1.2

a = 8.947 Å, b = 8.947 Å, c = 4.088 Å
α = 90.00°, β = 90.00°, γ = 152.15°
Atoms (fractional coordinates):
Pr 0.098 0.902 0.750
Pr 0.902 0.098 0.250
Hg 0.286 0.714 0.750
Hg 0.714 0.286 0.250
Ge 0.454 0.546 0.750
Ge 0.546 0.454 0.250



Record 11
LiTb2P3Pt4: optimized geometry, PBE.

E_form, meV per atom: -986
Symmetry: P-4m2
Electronic total energy, eV/f.u.: -61.426
DOS(E_F), states/eV/f.u.: 5.3

a = 4.151 Å, b = 4.151 Å, c = 9.868 Å
α = 90.00°, β = 90.00°, γ = 90.00°
Atoms (fractional coordinates):
Li 0.000 0.000 0.000
Tb 0.000 0.500 0.744
Tb 0.500 0.000 0.256
P 0.000 0.500 0.361
P 0.500 0.000 0.639
P 0.500 0.500 0.000
Pt 0.000 0.000 0.500
Pt 0.000 0.500 0.126
Pt 0.500 0.000 0.874
Pt 0.500 0.500 0.500



Record 12
Sr3Y3CdSe8: optimized geometry, PBE.

Symmetry: R-3m
Electronic total energy, eV/f.u.: -79.285
DOS(E_F), states/eV/f.u.: 3.9
Formation energy (no corrections), eV per formula unit: -26.1

a = 8.584 Å, b = 8.584 Å, c = 8.584 Å
α = 58.33°, β = 58.33°, γ = 58.33°
Atoms (fractional coordinates):
Sr 0.000 0.500 0.500
Sr 0.500 0.000 0.500
Sr 0.500 0.500 0.000
Y 0.000 0.000 0.500
Y 0.000 0.500 0.000
Y 0.500 0.000 0.000
Cd 0.500 0.500 0.500
Se 0.239 0.744 0.744
Se 0.244 0.244 0.244
Se 0.256 0.256 0.761
Se 0.256 0.761 0.256
Se 0.744 0.239 0.744
Se 0.744 0.744 0.239
Se 0.756 0.756 0.756
Se 0.761 0.256 0.256



Record 13
Al2AgSbOs: optimized geometry, PBE.

Symmetry: P4/mmm
Electronic total energy, eV/f.u.: -22.653
DOS(E_F), states/eV/f.u.: 4.7
Formation energy (no corrections), eV per formula unit: 3.0

a = 4.671 Å, b = 4.671 Å, c = 5.289 Å
α = 90.00°, β = 90.00°, γ = 90.00°
Atoms (fractional coordinates):
Al 0.000 0.500 0.000
Al 0.500 0.000 0.000
Ag 0.000 0.000 0.500
Sb 0.500 0.500 0.500
Os 0.000 0.000 0.000



Record 14
Ca5Pt7: optimized geometry, PBE.

E_form, meV per atom: -569
Symmetry: P4mm
Electronic total energy, eV/f.u.: -59.123
DOS(E_F), states/eV/f.u.: 9.0
Energy relative to the lowest polymorph listed for this composition, meV/atom: 137

a = 3.456 Å, b = 3.456 Å, c = 21.712 Å
α = 90.00°, β = 90.00°, γ = 90.00°
Atoms (fractional coordinates):
Ca 0.000 0.000 0.000
Ca 0.000 0.000 0.160
Ca 0.000 0.000 0.322
Ca 0.000 0.000 0.485
Ca 0.500 0.500 0.835
Pt 0.000 0.000 0.629
Pt 0.000 0.000 0.757
Pt 0.500 0.500 0.074
Pt 0.500 0.500 0.240
Pt 0.500 0.500 0.403
Pt 0.500 0.500 0.571
Pt 0.500 0.500 0.698



Record 15
TmMgGaNi: optimized geometry, PBE.

E_form, meV per atom: -373
Symmetry: F-43m
Electronic total energy, eV/f.u.: -16.366
DOS(E_F), states/eV/f.u.: 1.8

a = 4.674 Å, b = 4.674 Å, c = 4.674 Å
α = 60.00°, β = 60.00°, γ = 60.00°
Atoms (fractional coordinates):
Tm 0.000 0.000 0.000
Mg 0.500 0.500 0.500
Ga 0.250 0.250 0.250
Ni 0.750 0.750 0.750



Record 16
Cs2SrGe2S6: optimized geometry, PBE.

Symmetry: C2/m
Electronic total energy, eV/f.u.: -47.595
DOS(E_F), states/eV/f.u.: 0.0
Formation energy (no corrections), eV per formula unit: -10.2

a = 7.416 Å, b = 7.416 Å, c = 9.070 Å
α = 112.59°, β = 112.59°, γ = 59.65°
Atoms (fractional coordinates):
Cs 0.201 0.201 0.185
Cs 0.799 0.799 0.815
Sr 0.000 0.000 0.500
Ge 0.443 0.443 0.726
Ge 0.557 0.557 0.274
S 0.213 0.708 0.222
S 0.261 0.261 0.645
S 0.292 0.787 0.778
S 0.708 0.213 0.222
S 0.739 0.739 0.355
S 0.787 0.292 0.778



Record 17
YAg2H2: optimized geometry, PBE.

Symmetry: P4/mbm
Electronic total energy, eV/f.u.: -19.640
DOS(E_F), states/eV/f.u.: 1.3

a = 5.751 Å, b = 5.751 Å, c = 4.654 Å
α = 90.00°, β = 90.00°, γ = 90.00°
Atoms (fractional coordinates):
Y 0.000 0.000 0.000
Y 0.500 0.500 0.000
Ag 0.174 0.326 0.500
Ag 0.326 0.826 0.500
Ag 0.674 0.174 0.500
Ag 0.826 0.674 0.500
H 0.166 0.334 0.000
H 0.334 0.834 0.000
H 0.666 0.166 0.000
H 0.834 0.666 0.000



Record 18
Sc2TlCrC: optimized geometry, PBE.

E_form, meV per atom: -298
Symmetry: P4/mmm
Electronic total energy, eV/f.u.: -35.369
DOS(E_F), states/eV/f.u.: 4.8

a = 4.603 Å, b = 4.603 Å, c = 3.915 Å
α = 90.00°, β = 90.00°, γ = 90.00°
Atoms (fractional coordinates):
Sc 0.000 0.500 0.000
Sc 0.500 0.000 0.000
Tl 0.000 0.000 0.500
Cr 0.500 0.500 0.500
C 0.500 0.500 0.000



Record 19
AcPm4Y5: optimized geometry, PBE.

E_form, meV per atom: 28
Symmetry: P4/mmm
Electronic total energy, eV/f.u.: -55.150
DOS(E_F), states/eV/f.u.: 15.1
Energy relative to the lowest polymorph listed for this composition, meV/atom: 0

a = 3.667 Å, b = 3.667 Å, c = 25.440 Å
α = 90.00°, β = 90.00°, γ = 90.00°
Atoms (fractional coordinates):
Ac 0.000 0.000 0.000
Pm 0.000 0.000 0.205
Pm 0.000 0.000 0.402
Pm 0.000 0.000 0.598
Pm 0.000 0.000 0.795
Y 0.500 0.500 0.107
Y 0.500 0.500 0.304
Y 0.500 0.500 0.500
Y 0.500 0.500 0.696
Y 0.500 0.500 0.893



Record 20
Ta6GaB: optimized geometry, PBE.

E_form, meV per atom: 246
Symmetry: R-3
Electronic total energy, eV/f.u.: -78.856
DOS(E_F), states/eV/f.u.: 6.6

a = 6.054 Å, b = 6.054 Å, c = 6.054 Å
α = 55.99°, β = 55.99°, γ = 55.99°
Atoms (fractional coordinates):
Ta 0.014 0.779 0.436
Ta 0.221 0.564 0.986
Ta 0.436 0.014 0.779
Ta 0.564 0.986 0.221
Ta 0.779 0.436 0.014
Ta 0.986 0.221 0.564
Ga 0.500 0.500 0.500
B 0.000 0.000 0.000